A plane-wave DFT calculation with PBE was carried out for an optimized crystal structure of Tb2GaPt.

**Total DFT energy (no corrections)**: -5.522 eV per atom
**Total moment**: 0.000 μB/atom
**Symmetry**: P2_1/m
**Formation energy**: -0.940 eV/atom

abc: 5.944 4.388 7.666
angles: 90.00 110.76 90.00
Atoms (fractional coordinates):
Tb 0.176 0.250 0.410
Tb 0.273 0.750 0.066
Tb 0.727 0.250 0.934
Tb 0.824 0.750 0.590
Ga 0.383 0.750 0.702
Ga 0.617 0.250 0.298
Pt 0.150 0.250 0.791
Pt 0.850 0.750 0.209